Entry 1:
Entry from the Alexandria database: a crystal of Cs2SbAs2 relaxed with PBEsol (SCAN).

Formation energy without anion corrections = -1.8 eV per formula unit
Size of the total moment = 0.0 μB/f.u.
DOS(E_F) = 0.662 states/eV/atom
Energy = -31.018 eV/atom

a b c (Å): 7.3866 7.3866 5.8786
angles (deg): 90.00 90.00 90.00
With the nearest neighbours (Å) after each atom.
Space group P4/mbm (No. 127)
Symmetry-distinct sites (fractional):
Cs  0.1811  0.3189  0.0000 (multiplicity 4)  6 As 3.62-3.70, 5 Cs 3.78-3.83, 4 Sb 4.00
Sb  0.0000  0.0000  0.5000 (multiplicity 2)  4 As 2.96
As  0.1172  0.6172  0.5000 (multiplicity 4)  1 As 2.45

***

Entry 2:
Entry from the Alexandria database: a crystal of CsSr2SbAs relaxed with PBEsol (SCAN).

Formation energy without anion corrections = -2.6 eV per formula unit
Size of the total moment = 0.0 μB/f.u.
DOS(E_F) = 0.855 states/eV/atom
Energy = -28.482 eV/atom

a b c (Å): 5.9193 5.9193 5.9416
angles (deg): 90.00 90.00 90.00
With the nearest neighbours (Å) after each atom.
Space group P4/mmm (No. 123)
Symmetry-distinct sites (fractional):
Cs  0.0000  0.0000  0.0000 (multiplicity 1)  2 As 2.97
Sr  0.0000  0.5000  0.5000 (multiplicity 2)  2 As 2.96
Sb  0.5000  0.5000  0.0000 (multiplicity 1)  4 Cs 4.19, 8 Sr 4.19
As  0.0000  0.0000  0.5000 (multiplicity 1)  4 Sr 2.96, 2 Cs 2.97

***

Entry 3:
Entry from the Alexandria database: a crystal of CsAs2Se3 relaxed with PBEsol (SCAN).

Formation energy without anion corrections = -3.4 eV per formula unit
Size of the total moment = 0.0 μB/f.u.
Energy = -23.632 eV/atom

a b c (Å): 14.4405 7.4607 13.2316
angles (deg): 90.00 90.00 90.00
With the nearest neighbours (Å) after each atom.
Space group Pnma (No. 62)
Symmetry-distinct sites (fractional):
Cs  0.0767  0.2500  0.0967 (multiplicity 4)  9 Se 3.56-3.78, 2 As 3.84
Cs  0.0925  0.7500  0.5835 (multiplicity 4)  7 Se 3.67-3.75, 2 As 3.89
As  0.0097  0.7500  0.2728 (multiplicity 4)  3 Se 2.40-2.45
As  0.2155  0.7500  0.9304 (multiplicity 4)  3 Se 2.40-2.45
As  0.2438  0.5825  0.2231 (multiplicity 8)  2 Se 2.49-2.51, 1 As 2.50
Se  0.1046  0.2500  0.5957 (multiplicity 4)  1 As 2.40
Se  0.1102  0.5099  0.3354 (multiplicity 8)  2 As 2.45-2.49
Se  0.1137  0.7500  0.0739 (multiplicity 4)  1 As 2.40
Se  0.1386  0.0115  0.8565 (multiplicity 8)  2 As 2.45-2.51

***

What is the formation energy without anion corrections in the second record? -2.6 eV per formula unit

***

Repeat the third record exactly.
Entry from the Alexandria database: a crystal of CsAs2Se3 relaxed with PBEsol (SCAN).

Formation energy without anion corrections = -3.4 eV per formula unit
Size of the total moment = 0.0 μB/f.u.
Energy = -23.632 eV/atom

a b c (Å): 14.4405 7.4607 13.2316
angles (deg): 90.00 90.00 90.00
With the nearest neighbours (Å) after each atom.
Space group Pnma (No. 62)
Symmetry-distinct sites (fractional):
Cs  0.0767  0.2500  0.0967 (multiplicity 4)  9 Se 3.56-3.78, 2 As 3.84
Cs  0.0925  0.7500  0.5835 (multiplicity 4)  7 Se 3.67-3.75, 2 As 3.89
As  0.0097  0.7500  0.2728 (multiplicity 4)  3 Se 2.40-2.45
As  0.2155  0.7500  0.9304 (multiplicity 4)  3 Se 2.40-2.45
As  0.2438  0.5825  0.2231 (multiplicity 8)  2 Se 2.49-2.51, 1 As 2.50
Se  0.1046  0.2500  0.5957 (multiplicity 4)  1 As 2.40
Se  0.1102  0.5099  0.3354 (multiplicity 8)  2 As 2.45-2.49
Se  0.1137  0.7500  0.0739 (multiplicity 4)  1 As 2.40
Se  0.1386  0.0115  0.8565 (multiplicity 8)  2 As 2.45-2.51